A) TaBAsSe2 after structural relaxation. Source: the Alexandria database, functional PBE-GGA. Values from VASP.

Cell and atoms, written as Quantum ESPRESSO input:
```
&SYSTEM
  ibrav = 0, nat = 5, ntyp = 4
/
ATOMIC_SPECIES
Ta 180.95 Ta.upf
B 10.81 B.upf
As 74.92 As.upf
Se 78.96 Se.upf
CELL_PARAMETERS angstrom
4.407 0.000 0.000
0.000 4.407 0.000
0.000 0.000 4.325
ATOMIC_POSITIONS angstrom
Ta 0.000 0.000 0.000
B 2.203 2.203 2.163
As 2.203 2.203 0.000
Se 0.000 2.203 2.163
Se 2.203 0.000 2.163
```

* size of the total moment: 0.000 μB per formula unit

***

B) TaBAsSe2 after structural relaxation. Source: the Alexandria database, functional PBE-GGA. Values from VASP.

Cell and atoms, written as Quantum ESPRESSO input:
```
&SYSTEM
  ibrav = 0, nat = 5, ntyp = 4
/
ATOMIC_SPECIES
Ta 180.95 Ta.upf
B 10.81 B.upf
As 74.92 As.upf
Se 78.96 Se.upf
CELL_PARAMETERS angstrom
4.993 0.000 0.000
0.000 4.993 0.000
0.000 0.000 5.066
ATOMIC_POSITIONS angstrom
Ta 0.000 0.000 0.000
B 2.497 2.497 2.533
As 0.000 0.000 2.533
Se 0.000 2.497 0.000
Se 2.497 0.000 0.000
```

* size of the total moment: 0.000 μB per formula unit

***

Least stable of them? B).

***

A) TcBAs2Se after structural relaxation. Source: the Alexandria database, functional PBE-GGA. Values from VASP.

Cell and atoms, written as Quantum ESPRESSO input:
```
&SYSTEM
  ibrav = 0, nat = 5, ntyp = 4
/
ATOMIC_SPECIES
Tc 98.00 Tc.upf
B 10.81 B.upf
As 74.92 As.upf
Se 78.96 Se.upf
CELL_PARAMETERS angstrom
4.702 0.000 0.000
0.000 4.702 0.000
0.000 0.000 5.198
ATOMIC_POSITIONS angstrom
Tc 0.000 0.000 0.000
B 2.351 2.351 2.599
As 0.000 2.351 0.000
As 2.351 0.000 0.000
Se 0.000 0.000 2.599
```

* size of the total moment: 0.000 μB per formula unit

***

B) TcBAs2Se after structural relaxation. Source: the Alexandria database, functional PBE-GGA. Values from VASP.

Cell and atoms, written as Quantum ESPRESSO input:
```
&SYSTEM
  ibrav = 0, nat = 5, ntyp = 4
/
ATOMIC_SPECIES
Tc 98.00 Tc.upf
B 10.81 B.upf
As 74.92 As.upf
Se 78.96 Se.upf
CELL_PARAMETERS angstrom
4.278 0.000 0.000
0.000 4.278 0.000
0.000 0.000 4.455
ATOMIC_POSITIONS angstrom
Tc 0.000 0.000 0.000
B 2.139 2.139 2.228
As 0.000 2.139 2.228
As 2.139 0.000 2.228
Se 2.139 2.139 0.000
```

* size of the total moment: 1.651 μB per formula unit

***

Least stable of them? A).

***

A) BTeAsSe2 after structural relaxation. Source: the Alexandria database, functional PBE-GGA. Values from VASP.

Cell and atoms, written as Quantum ESPRESSO input:
```
&SYSTEM
  ibrav = 0, nat = 5, ntyp = 4
/
ATOMIC_SPECIES
B 10.81 B.upf
Te 127.60 Te.upf
As 74.92 As.upf
Se 78.96 Se.upf
CELL_PARAMETERS angstrom
4.536 0.000 0.000
0.000 4.536 0.000
0.000 0.000 4.618
ATOMIC_POSITIONS angstrom
B 0.000 0.000 0.000
Te 2.268 2.268 2.309
As 0.000 0.000 2.309
Se 0.000 2.268 0.000
Se 2.268 0.000 0.000
```

* size of the total moment: 0.000 μB per formula unit

***

B) BTeAsSe2 after structural relaxation. Source: the Alexandria database, functional PBE-GGA. Values from VASP.

Cell and atoms, written as Quantum ESPRESSO input:
```
&SYSTEM
  ibrav = 0, nat = 5, ntyp = 4
/
ATOMIC_SPECIES
B 10.81 B.upf
Te 127.60 Te.upf
As 74.92 As.upf
Se 78.96 Se.upf
CELL_PARAMETERS angstrom
5.386 0.000 0.000
0.000 5.386 0.000
0.000 0.000 5.357
ATOMIC_POSITIONS angstrom
B 0.000 0.000 0.000
Te 2.693 2.693 2.678
As 2.693 2.693 0.000
Se 0.000 2.693 2.678
Se 2.693 0.000 2.678
```

* size of the total moment: 0.939 μB per formula unit

***

Least stable of them? B).

***

A) BTeAs2Se after structural relaxation. Source: the Alexandria database, functional PBE-GGA. Values from VASP.

Cell and atoms, written as Quantum ESPRESSO input:
```
&SYSTEM
  ibrav = 0, nat = 5, ntyp = 4
/
ATOMIC_SPECIES
B 10.81 B.upf
Te 127.60 Te.upf
As 74.92 As.upf
Se 78.96 Se.upf
CELL_PARAMETERS angstrom
4.597 0.000 0.000
0.000 4.597 0.000
0.000 0.000 4.435
ATOMIC_POSITIONS angstrom
B 0.000 0.000 0.000
Te 2.298 2.298 2.217
As 0.000 2.298 0.000
As 2.298 0.000 0.000
Se 0.000 0.000 2.217
```

* size of the total moment: 0.000 μB per formula unit

***

B) BTeAs2Se after structural relaxation. Source: the Alexandria database, functional PBE-GGA. Values from VASP.

Cell and atoms, written as Quantum ESPRESSO input:
```
&SYSTEM
  ibrav = 0, nat = 5, ntyp = 4
/
ATOMIC_SPECIES
B 10.81 B.upf
Te 127.60 Te.upf
As 74.92 As.upf
Se 78.96 Se.upf
CELL_PARAMETERS angstrom
5.359 0.000 0.000
0.000 5.359 0.000
0.000 0.000 5.385
ATOMIC_POSITIONS angstrom
B 0.000 0.000 0.000
Te 2.679 2.679 2.692
As 0.000 2.679 2.692
As 2.679 0.000 2.692
Se 2.679 2.679 0.000
```

* size of the total moment: 0.977 μB per formula unit

***

Least stable of them? B).

***

A) TiBAsSe2 after structural relaxation. Source: the Alexandria database, functional PBE-GGA. Values from VASP.

Cell and atoms, written as Quantum ESPRESSO input:
```
&SYSTEM
  ibrav = 0, nat = 5, ntyp = 4
/
ATOMIC_SPECIES
Ti 47.87 Ti.upf
B 10.81 B.upf
As 74.92 As.upf
Se 78.96 Se.upf
CELL_PARAMETERS angstrom
4.902 0.000 0.000
0.000 4.902 0.000
0.000 0.000 4.937
ATOMIC_POSITIONS angstrom
Ti 0.000 0.000 0.000
B 2.451 2.451 2.469
As 0.000 0.000 2.469
Se 0.000 2.451 0.000
Se 2.451 0.000 0.000
```

* size of the total moment: 0.000 μB per formula unit

***

B) TiBAsSe2 after structural relaxation. Source: the Alexandria database, functional PBE-GGA. Values from VASP.

Cell and atoms, written as Quantum ESPRESSO input:
```
&SYSTEM
  ibrav = 0, nat = 5, ntyp = 4
/
ATOMIC_SPECIES
Ti 47.87 Ti.upf
B 10.81 B.upf
As 74.92 As.upf
Se 78.96 Se.upf
CELL_PARAMETERS angstrom
4.492 0.000 0.000
0.000 4.492 0.000
0.000 0.000 4.290
ATOMIC_POSITIONS angstrom
Ti 0.000 0.000 0.000
B 2.246 2.246 2.145
As 2.246 2.246 0.000
Se 0.000 2.246 2.145
Se 2.246 0.000 2.145
```

* size of the total moment: 0.000 μB per formula unit

***

Least stable of them? A).

***

A) TlBAsSe2 after structural relaxation. Source: the Alexandria database, functional PBE-GGA. Values from VASP.

Cell and atoms, written as Quantum ESPRESSO input:
```
&SYSTEM
  ibrav = 0, nat = 5, ntyp = 4
/
ATOMIC_SPECIES
Tl 204.38 Tl.upf
B 10.81 B.upf
As 74.92 As.upf
Se 78.96 Se.upf
CELL_PARAMETERS angstrom
5.442 0.000 0.000
0.000 5.442 0.000
0.000 0.000 5.338
ATOMIC_POSITIONS angstrom
Tl 0.000 0.000 0.000
B 2.721 2.721 2.669
As 0.000 0.000 2.669
Se 0.000 2.721 0.000
Se 2.721 0.000 0.000
```

* size of the total moment: 1.415 μB per formula unit

***

B) TlBAsSe2 after structural relaxation. Source: the Alexandria database, functional PBE-GGA. Values from VASP.

Cell and atoms, written as Quantum ESPRESSO input:
```
&SYSTEM
  ibrav = 0, nat = 5, ntyp = 4
/
ATOMIC_SPECIES
Tl 204.38 Tl.upf
B 10.81 B.upf
As 74.92 As.upf
Se 78.96 Se.upf
CELL_PARAMETERS angstrom
4.952 0.000 0.000
0.000 4.952 0.000
0.000 0.000 4.202
ATOMIC_POSITIONS angstrom
Tl 0.000 0.000 0.000
B 2.476 2.476 2.101
As 2.476 2.476 0.000
Se 0.000 2.476 2.101
Se 2.476 0.000 2.101
```

* size of the total moment: 0.000 μB per formula unit

***

Least stable of them? A).

***

A) VBAsSe2 after structural relaxation. Source: the Alexandria database, functional PBE-GGA. Values from VASP.

Cell and atoms, written as Quantum ESPRESSO input:
```
&SYSTEM
  ibrav = 0, nat = 5, ntyp = 4
/
ATOMIC_SPECIES
V 50.94 V.upf
B 10.81 B.upf
As 74.92 As.upf
Se 78.96 Se.upf
CELL_PARAMETERS angstrom
4.764 0.000 0.000
0.000 4.764 0.000
0.000 0.000 4.796
ATOMIC_POSITIONS angstrom
V 0.000 0.000 0.000
B 2.382 2.382 2.398
As 0.000 0.000 2.398
Se 0.000 2.382 0.000
Se 2.382 0.000 0.000
```

* size of the total moment: 0.000 μB per formula unit

***

B) VBAsSe2 after structural relaxation. Source: the Alexandria database, functional PBE-GGA. Values from VASP.

Cell and atoms, written as Quantum ESPRESSO input:
```
&SYSTEM
  ibrav = 0, nat = 5, ntyp = 4
/
ATOMIC_SPECIES
V 50.94 V.upf
B 10.81 B.upf
As 74.92 As.upf
Se 78.96 Se.upf
CELL_PARAMETERS angstrom
4.526 0.000 0.000
0.000 4.526 0.000
0.000 0.000 4.165
ATOMIC_POSITIONS angstrom
V 0.000 0.000 0.000
B 2.263 2.263 2.083
As 2.263 2.263 0.000
Se 0.000 2.263 2.083
Se 2.263 0.000 2.083
```

* size of the total moment: 0.061 μB per formula unit

***

Least stable of them? A).